Record 1
# Er2MgS4

An optimized crystal structure of Er2MgS4 (PBE, the Alexandria database).

D(E_F)	0.00	states/eV/atom
density	4.7	Mg/m³
E_form (uncorrected)	-1.899	eV per atom
space-group type	Fd-3m

a b c (Å): 7.8474 7.8474 7.8474
angles (deg): 60.00 60.00 60.00
Element x y z (fractional)
1 Er 0.0000 0.0000 0.0000
2 Er 0.0000 0.0000 0.5000
3 Er 0.0000 0.5000 0.0000
4 Er 0.5000 0.0000 0.0000
5 Mg 0.3750 0.3750 0.3750
6 Mg 0.6250 0.6250 0.6250
7 S 0.2345 0.7552 0.7552
8 S 0.2448 0.2448 0.2448
9 S 0.2448 0.2448 0.7655
10 S 0.2448 0.7655 0.2448
11 S 0.7552 0.2345 0.7552
12 S 0.7552 0.7552 0.2345
13 S 0.7552 0.7552 0.7552
14 S 0.7655 0.2448 0.2448

=====

Record 2
# Er3MgS

An optimized crystal structure of Er3MgS (PBE, the Alexandria database).

D(E_F)	0.87	states/eV/atom
density	6.7	Mg/m³
E_form (uncorrected)	-0.678	eV per atom
space-group type	Pm-3m

a b c (Å): 5.1696 5.1696 5.1696
angles (deg): 90.00 90.00 90.00
Element x y z (fractional)
1 Er 0.0000 0.0000 0.5000
2 Er 0.0000 0.5000 0.0000
3 Er 0.5000 0.0000 0.0000
4 Mg 0.5000 0.5000 0.5000
5 S 0.0000 0.0000 0.0000

=====

Record 3
# Er3Mg4S8

An optimized crystal structure of Er3Mg4S8 (PBE, the Alexandria database).

D(E_F)	0.14	states/eV/atom
density	4.6	Mg/m³
E_form (uncorrected)	-1.669	eV per atom
space-group type	C2/m

a b c (Å): 7.5722 7.5722 7.5743
angles (deg): 119.78 119.78 90.07
Element x y z (fractional)
1 Er 0.0000 0.0000 0.0000
2 Er 0.0000 0.5000 0.5000
3 Er 0.5000 0.0000 0.5000
4 Mg 0.0000 0.5000 0.0000
5 Mg 0.5000 0.0000 0.0000
6 Mg 0.5000 0.5000 0.0000
7 Mg 0.5000 0.5000 0.5000
8 S 0.2547 0.7453 0.0000
9 S 0.2563 0.2563 0.5074
10 S 0.2562 0.7438 0.5000
11 S 0.2639 0.2639 0.0196
12 S 0.7361 0.7361 0.9804
13 S 0.7438 0.2562 0.5000
14 S 0.7437 0.7437 0.4926
15 S 0.7453 0.2547 0.0000

=====

Record 4
# Er2MgS4

An optimized crystal structure of Er2MgS4 (PBE, the Alexandria database).

D(E_F)	0.00	states/eV/atom
density	4.9	Mg/m³
E_form (uncorrected)	-1.853	eV per atom
space-group type	I-42d

a b c (Å): 7.5781 7.5781 7.5781
angles (deg): 106.25 106.25 116.13
Element x y z (fractional)
1 Er 0.0985 0.1250 0.4735
2 Er 0.3750 0.9015 0.0265
3 Er 0.6515 0.6250 0.5265
4 Er 0.8750 0.3485 0.9735
5 Mg 0.2500 0.7500 0.5000
6 Mg 0.5000 0.5000 0.0000
7 S 0.0960 0.8983 0.7048
8 S 0.1017 0.8065 0.1977
9 S 0.1413 0.4435 0.7952
10 S 0.1935 0.3913 0.2952
11 S 0.5565 0.3517 0.6977
12 S 0.6087 0.9040 0.8023
13 S 0.6483 0.3460 0.2048
14 S 0.6540 0.8587 0.3023

=====

Record 5
# Er2MgS4

An optimized crystal structure of Er2MgS4 (PBE, the Alexandria database).

D(E_F)	0.00	states/eV/atom
density	4.7	Mg/m³
E_form (uncorrected)	-1.877	eV per atom
space-group type	Pnma

a b c (Å): 13.3845 7.8284 6.5063
angles (deg): 90.00 90.00 90.00
Element x y z (fractional)
1 Er 0.0000 0.0000 0.0000
2 Er 0.0000 0.5000 0.0000
3 Er 0.2318 0.2500 0.4937
4 Er 0.2682 0.7500 0.9937
5 Er 0.5000 0.0000 0.5000
6 Er 0.5000 0.5000 0.5000
7 Er 0.7318 0.2500 0.0063
8 Er 0.7682 0.7500 0.5063
9 Mg 0.0964 0.7500 0.4207
10 Mg 0.4036 0.2500 0.9207
11 Mg 0.5964 0.7500 0.0793
12 Mg 0.9036 0.2500 0.5793
13 S 0.0703 0.2500 0.7459
14 S 0.0904 0.7500 0.7888
15 S 0.1706 0.5076 0.2347
16 S 0.1706 0.9924 0.2347
17 S 0.3294 0.0076 0.7347
18 S 0.3294 0.4924 0.7347
19 S 0.4096 0.2500 0.2888
20 S 0.4297 0.7500 0.2459
21 S 0.5703 0.2500 0.7541
22 S 0.5904 0.7500 0.7112
23 S 0.6706 0.5076 0.2653
24 S 0.6706 0.9924 0.2653
25 S 0.8294 0.0076 0.7653
26 S 0.8294 0.4924 0.7653
27 S 0.9096 0.2500 0.2112
28 S 0.9297 0.7500 0.2541

=====

Record 6
# Er2MgS4

An optimized crystal structure of Er2MgS4 (PBE, the Alexandria database).

D(E_F)	0.00	states/eV/atom
density	4.5	Mg/m³
E_form (uncorrected)	-1.723	eV per atom
space-group type	P-1

a b c (Å): 7.3152 8.6906 11.6365
angles (deg): 99.78 96.36 91.92
Element x y z (fractional)
1 Er 0.1308 0.4475 0.3318
2 Er 0.1405 0.9770 0.3551
3 Er 0.2489 0.1232 0.9965
4 Er 0.3617 0.2926 0.6538
5 Er 0.6383 0.7074 0.3462
6 Er 0.7511 0.8768 0.0035
7 Er 0.8595 0.0230 0.6449
8 Er 0.8692 0.5525 0.6682
9 Mg 0.2582 0.5945 0.9866
10 Mg 0.3630 0.7930 0.6897
11 Mg 0.6370 0.2070 0.3103
12 Mg 0.7418 0.4055 0.0134
13 S 0.0861 0.9480 0.1325
14 S 0.0951 0.3962 0.1051
15 S 0.1972 0.5405 0.6032
16 S 0.2050 0.0076 0.6055
17 S 0.2924 0.7173 0.3606
18 S 0.3447 0.2362 0.3997
19 S 0.3885 0.8375 0.8993
20 S 0.3963 0.3490 0.8804
21 S 0.6037 0.6510 0.1196
22 S 0.6115 0.1625 0.1007
23 S 0.6553 0.7638 0.6003
24 S 0.7076 0.2827 0.6394
25 S 0.7950 0.9924 0.3945
26 S 0.8028 0.4595 0.3968
27 S 0.9049 0.6038 0.8949
28 S 0.9139 0.0520 0.8675

=====

Record 7
# ErMg3S4

An optimized crystal structure of ErMg3S4 (PBE, the Alexandria database).

D(E_F)	0.25	states/eV/atom
density	4.1	Mg/m³
E_form (uncorrected)	-1.468	eV per atom
space-group type	Cmmm

a b c (Å): 6.5526 6.5526 3.7030
angles (deg): 90.00 90.00 109.11
Element x y z (fractional)
1 Er 0.0000 0.0000 0.0000
2 Mg 0.0000 0.5000 0.5000
3 Mg 0.5000 0.0000 0.5000
4 Mg 0.5000 0.5000 0.0000
5 S 0.2548 0.7452 0.0000
6 S 0.2627 0.2627 0.5000
7 S 0.7373 0.7373 0.5000
8 S 0.7452 0.2548 0.0000

=====

Record 8
# Er2MgS4

An optimized crystal structure of Er2MgS4 (PBE, the Alexandria database).

D(E_F)	0.00	states/eV/atom
density	5.0	Mg/m³
E_form (uncorrected)	-1.649	eV per atom
space-group type	Pnma

a b c (Å): 7.8512 7.2775 11.3643
angles (deg): 90.00 90.00 90.00
Element x y z (fractional)
1 Er 0.0475 0.2500 0.1910
2 Er 0.0663 0.7500 0.4821
3 Er 0.4337 0.2500 0.9821
4 Er 0.4525 0.7500 0.6910
5 Er 0.5475 0.2500 0.3090
6 Er 0.5663 0.7500 0.0179
7 Er 0.9337 0.2500 0.5179
8 Er 0.9525 0.7500 0.8090
9 Mg 0.1773 0.7500 0.0967
10 Mg 0.3227 0.2500 0.5967
11 Mg 0.6773 0.7500 0.4033
12 Mg 0.8227 0.2500 0.9033
13 S 0.1101 0.2500 0.9563
14 S 0.1249 0.0011 0.6580
15 S 0.1249 0.4989 0.6580
16 S 0.2282 0.2500 0.3908
17 S 0.2718 0.7500 0.8908
18 S 0.3751 0.5011 0.1580
19 S 0.3751 0.9989 0.1580
20 S 0.3899 0.7500 0.4563
21 S 0.6101 0.2500 0.5437
22 S 0.6249 0.0011 0.8420
23 S 0.6249 0.4989 0.8420
24 S 0.7282 0.2500 0.1092
25 S 0.7718 0.7500 0.6092
26 S 0.8751 0.5011 0.3420
27 S 0.8751 0.9989 0.3420
28 S 0.8899 0.7500 0.0437

=====

Record 9
# ErMgSc4S8

An optimized crystal structure of ErMgSc4S8 (PBE, the Alexandria database).

D(E_F)	0.35	states/eV/atom
density	3.3	Mg/m³
E_form (uncorrected)	-1.824	eV per atom
space-group type	R3m

a b c (Å): 7.6863 7.6863 7.6863
angles (deg): 59.33 59.33 59.33
Element x y z (fractional)
1 Er 0.0000 0.0000 0.0000
2 Mg 0.6275 0.6275 0.6275
3 Sc 0.3747 0.3747 0.3747
4 Sc 0.5090 0.9991 0.9991
5 Sc 0.9991 0.5090 0.9991
6 Sc 0.9991 0.9991 0.5090
7 S 0.2330 0.7528 0.7528
8 S 0.2432 0.2432 0.2432
9 S 0.2505 0.2505 0.7706
10 S 0.2505 0.7706 0.2505
11 S 0.7528 0.2330 0.7528
12 S 0.7528 0.7528 0.2330
13 S 0.7586 0.7586 0.7586
14 S 0.7706 0.2505 0.2505

=====

Record 10
# Er4MgScS8

An optimized crystal structure of Er4MgScS8 (PBE, the Alexandria database).

D(E_F)	0.29	states/eV/atom
density	4.8	Mg/m³
E_form (uncorrected)	-1.893	eV per atom
space-group type	R3m

a b c (Å): 7.8062 7.8062 7.8062
angles (deg): 60.68 60.68 60.68
Element x y z (fractional)
1 Er 0.0000 0.0000 0.0000
2 Er 0.3798 0.3798 0.8698
3 Er 0.3798 0.8698 0.3798
4 Er 0.8698 0.3798 0.3798
5 Mg 0.7531 0.7531 0.7531
6 Sc 0.3808 0.3808 0.3808
7 S 0.1349 0.1349 0.1349
8 S 0.1418 0.1418 0.5989
9 S 0.1418 0.5989 0.1418
10 S 0.1427 0.6184 0.6184
11 S 0.5989 0.1418 0.1418
12 S 0.6184 0.1427 0.6184
13 S 0.6184 0.6184 0.1427
14 S 0.6230 0.6230 0.6230

=====

Record 11
# SrEr4MgS8

An optimized crystal structure of SrEr4MgS8 (PBE, the Alexandria database).

D(E_F)	0.00	states/eV/atom
density	4.7	Mg/m³
E_form (uncorrected)	-1.908	eV per atom
space-group type	R3m

a b c (Å): 8.0096 8.0096 8.0096
angles (deg): 60.77 60.77 60.77
Element x y z (fractional)
1 Sr 0.0000 0.0000 0.0000
2 Er 0.3777 0.3777 0.8885
3 Er 0.3777 0.8885 0.3777
4 Er 0.7583 0.7583 0.7583
5 Er 0.8885 0.3777 0.3777
6 Mg 0.3764 0.3764 0.3764
7 S 0.1430 0.1430 0.1430
8 S 0.1501 0.1501 0.5818
9 S 0.1501 0.5818 0.1501
10 S 0.1552 0.6213 0.6213
11 S 0.5818 0.1501 0.1501
12 S 0.6213 0.1552 0.6213
13 S 0.6213 0.6213 0.1552
14 S 0.6236 0.6236 0.6236

=====

Record 12
# Sr3Er3MgS8

An optimized crystal structure of Sr3Er3MgS8 (PBE, the Alexandria database).

D(E_F)	0.25	states/eV/atom
density	4.7	Mg/m³
E_form (uncorrected)	-1.982	eV per atom
space-group type	R-3m

a b c (Å): 8.2112 8.2112 8.2112
angles (deg): 57.67 57.67 57.67
Element x y z (fractional)
1 Sr 0.0000 0.5000 0.5000
2 Sr 0.5000 0.0000 0.5000
3 Sr 0.5000 0.5000 0.0000
4 Er 0.0000 0.0000 0.5000
5 Er 0.0000 0.5000 0.0000
6 Er 0.5000 0.0000 0.0000
7 Mg 0.5000 0.5000 0.5000
8 S 0.2420 0.2420 0.2420
9 S 0.2443 0.7360 0.7360
10 S 0.2640 0.2640 0.7557
11 S 0.2640 0.7557 0.2640
12 S 0.7360 0.2443 0.7360
13 S 0.7360 0.7360 0.2443
14 S 0.7557 0.2640 0.2640
15 S 0.7580 0.7580 0.7580

=====

Record 13
# Tb3Er3MgS8

An optimized crystal structure of Tb3Er3MgS8 (PBE, the Alexandria database).

D(E_F)	0.23	states/eV/atom
density	6.3	Mg/m³
E_form (uncorrected)	-1.972	eV per atom
space-group type	R-3m

a b c (Å): 7.7706 7.7706 7.7706
angles (deg): 59.75 59.75 59.75
Element x y z (fractional)
1 Tb 0.0000 0.5000 0.5000
2 Tb 0.5000 0.0000 0.5000
3 Tb 0.5000 0.5000 0.0000
4 Er 0.0000 0.0000 0.5000
5 Er 0.0000 0.5000 0.0000
6 Er 0.5000 0.0000 0.0000
7 Mg 0.5000 0.5000 0.5000
8 S 0.2481 0.2481 0.2481
9 S 0.2549 0.7415 0.7415
10 S 0.2585 0.2585 0.7451
11 S 0.2585 0.7451 0.2585
12 S 0.7415 0.2549 0.7415
13 S 0.7415 0.7415 0.2549
14 S 0.7451 0.2585 0.2585
15 S 0.7519 0.7519 0.7519

=====

Record 14
# Tb2ErMgS4

An optimized crystal structure of Tb2ErMgS4 (PBE, the Alexandria database).

D(E_F)	0.40	states/eV/atom
density	6.5	Mg/m³
E_form (uncorrected)	-1.788	eV per atom
space-group type	P2/m

a b c (Å): 6.6815 3.8229 6.7521
angles (deg): 90.00 108.96 90.00
Element x y z (fractional)
1 Tb 0.0000 0.0000 0.0000
2 Tb 0.5000 0.5000 0.0000
3 Er 0.0000 0.5000 0.5000
4 Mg 0.5000 0.0000 0.5000
5 S 0.2554 0.0000 0.7368
6 S 0.2649 0.5000 0.2688
7 S 0.7351 0.5000 0.7312
8 S 0.7446 0.0000 0.2632

=====

Record 15
# TbErMgS4

An optimized crystal structure of TbErMgS4 (PBE, the Alexandria database).

D(E_F)	0.00	states/eV/atom
density	4.6	Mg/m³
E_form (uncorrected)	-1.889	eV per atom
space-group type	Imma

a b c (Å): 7.8915 7.8915 7.8915
angles (deg): 120.14 119.88 89.98
Element x y z (fractional)
1 Tb 0.0000 0.0000 0.0000
2 Tb 0.5000 0.0000 0.5000
3 Er 0.5000 0.0000 0.0000
4 Er 0.5000 0.5000 0.5000
5 Mg 0.1250 0.3750 0.7500
6 Mg 0.8750 0.6250 0.2500
7 S 0.2564 0.2488 0.4925
8 S 0.2564 0.7639 0.0075
9 S 0.2582 0.2467 0.0115
10 S 0.2649 0.7533 0.5115
11 S 0.7351 0.2467 0.4885
12 S 0.7418 0.7533 0.9885
13 S 0.7436 0.2361 0.9925
14 S 0.7436 0.7512 0.5075

=====

Record 16
# Er4TmMgS8

An optimized crystal structure of Er4TmMgS8 (PBE, the Alexandria database).

D(E_F)	0.23	states/eV/atom
density	5.3	Mg/m³
E_form (uncorrected)	-1.919	eV per atom
space-group type	R3m

a b c (Å): 7.8992 7.8992 7.8992
angles (deg): 60.03 60.03 60.03
Element x y z (fractional)
1 Er 0.0000 0.0000 0.0000
2 Er 0.3778 0.3778 0.8672
3 Er 0.3778 0.8672 0.3778
4 Er 0.8672 0.3778 0.3778
5 Tm 0.3779 0.3779 0.3779
6 Mg 0.7500 0.7500 0.7500
7 S 0.1334 0.1334 0.1334
8 S 0.1343 0.1343 0.5996
9 S 0.1343 0.5996 0.1343
10 S 0.1383 0.6202 0.6202
11 S 0.5996 0.1343 0.1343
12 S 0.6202 0.1383 0.6202
13 S 0.6202 0.6202 0.1383
14 S 0.6208 0.6208 0.6208

=====

Record 17
# Y2ErMgS4

An optimized crystal structure of Y2ErMgS4 (PBE, the Alexandria database).

D(E_F)	0.41	states/eV/atom
density	5.1	Mg/m³
E_form (uncorrected)	-1.784	eV per atom
space-group type	P2/m

a b c (Å): 6.6825 3.8221 6.7330
angles (deg): 90.00 109.00 90.00
Element x y z (fractional)
1 Y 0.0000 0.0000 0.0000
2 Y 0.5000 0.5000 0.0000
3 Er 0.0000 0.5000 0.5000
4 Mg 0.5000 0.0000 0.5000
5 S 0.2559 0.0000 0.7376
6 S 0.2648 0.5000 0.2680
7 S 0.7352 0.5000 0.7320
8 S 0.7441 0.0000 0.2624

=====

Record 18
# YErMgS4

An optimized crystal structure of YErMgS4 (PBE, the Alexandria database).

D(E_F)	0.00	states/eV/atom
density	3.9	Mg/m³
E_form (uncorrected)	-1.895	eV per atom
space-group type	Imma

a b c (Å): 7.8792 7.8792 7.8792
angles (deg): 120.11 119.92 89.97
Element x y z (fractional)
1 Y 0.0000 0.0000 0.0000
2 Y 0.5000 0.0000 0.5000
3 Er 0.5000 0.0000 0.0000
4 Er 0.5000 0.5000 0.5000
5 Mg 0.1248 0.3748 0.7500
6 Mg 0.8752 0.6252 0.2500
7 S 0.2561 0.2480 0.4919
8 S 0.2561 0.7642 0.0081
9 S 0.2574 0.2462 0.0112
10 S 0.2650 0.7538 0.5112
11 S 0.7350 0.2462 0.4888
12 S 0.7426 0.7538 0.9888
13 S 0.7439 0.2358 0.9919
14 S 0.7439 0.7520 0.5081

=====

no.,electronic total energy (eV per atom)
1,-5.789
2,-4.560
3,-5.208
4,-5.743
5,-5.767
6,-5.613
7,-4.700
8,-5.540
9,-6.432
10,-6.122
11,-5.804
12,-5.538
13,-6.119
14,-5.779
15,-5.789
16,-6.015
17,-6.233
18,-6.057